(1)
First-principles (SCAN) data for a crystal of CuAg3Hg relaxed with PBEsol, as listed in Alexandria via LeMat-Bulk.

```
CuAg3Hg
1.0
5.070 0.000 0.000
0.000 5.070 0.000
0.000 0.000 5.070
Cu Hg Ag
1 1 3
direct
0.500 0.500 0.500 Cu
0.000 0.000 0.000 Hg
0.000 0.500 0.000 Ag
0.000 0.000 0.500 Ag
0.500 0.000 0.000 Ag
```

Summary:
magnetization	0.00	μB/atom
symmetry	Pm-3m (221)
DFT formation energy	5.4	eV/f.u.
crystal system	cubic

---

(2)
First-principles (SCAN) data for a crystal of MgTaTc2Br relaxed with PBEsol, as listed in Alexandria via LeMat-Bulk.

```
MgTaTc2Br
1.0
-2.943 1.113 3.155
-3.483 -0.378 -3.116
-0.511 -4.524 1.120
Mg Tc Br Ta
1 2 1 1
direct
0.000 0.000 0.000 Mg
0.000 0.000 0.500 Tc
0.000 0.500 0.000 Tc
0.500 0.000 0.000 Br
0.500 0.500 0.500 Ta
```

Summary:
magnetization	0.64	μB/atom
symmetry	P4/mmm (123)
uncorrected formation energy	2.046	eV/atom
crystal system	tetragonal

---

(3)
First-principles (SCAN) data for a crystal of Li2FeSi relaxed with PBEsol, as listed in Alexandria via LeMat-Bulk.

```
Li2FeSi
1.0
-1.032 -2.202 0.501
0.937 0.845 2.138
-7.515 3.918 1.745
Si Fe Li
1 1 2
direct
0.500 0.500 0.500 Si
0.500 0.500 0.000 Fe
0.000 0.000 0.253 Li
0.000 0.000 0.747 Li
```

Summary:
magnetization	0.69	μB/atom
symmetry	Cmmm (65)
uncorrected formation energy	0.155	eV/atom
crystal system	orthorhombic

---

(4)
First-principles (SCAN) data for a crystal of Ta2CuSbP relaxed with PBEsol, as listed in Alexandria via LeMat-Bulk.

```
Ta2CuSbP
1.0
4.875 0.000 0.000
0.000 5.033 0.000
0.000 0.000 5.033
Sb P Cu Ta
1 1 1 2
direct
0.000 0.000 0.000 Sb
0.500 0.000 0.000 P
0.500 0.500 0.500 Cu
0.000 0.000 0.500 Ta
0.000 0.500 0.000 Ta
```

Summary:
magnetization	0.00	μB/atom
symmetry	P4/mmm (123)
uncorrected formation energy	2.267	eV/atom
crystal system	tetragonal

---

(5)
First-principles (SCAN) data for a crystal of CaLaAu2 relaxed with PBEsol, as listed in Alexandria via LeMat-Bulk.

```
CaLaAu2
1.0
-0.862 4.217 2.476
-0.870 -0.123 4.887
3.394 1.755 3.171
Ca Au La
1 2 1
direct
0.500 0.500 0.500 Ca
0.000 0.000 0.000 Au
0.750 0.750 0.750 Au
0.250 0.250 0.250 La
```

Summary:
magnetization	0.00	μB/atom
symmetry	F-43m (216)
DFT formation energy	-2.8	eV/f.u.
crystal system	cubic

---

(6)
First-principles (SCAN) data for a crystal of Be2RePb relaxed with PBEsol, as listed in Alexandria via LeMat-Bulk.

```
Be2RePb
1.0
-1.304 2.965 -0.563
-1.287 -2.978 -3.105
-2.958 -0.668 3.338
Pb Re Be
1 1 2
direct
0.000 0.000 0.500 Pb
0.500 0.000 0.000 Re
0.783 0.566 0.898 Be
0.217 0.434 0.102 Be
```

Summary:
magnetization	0.00	μB/atom
symmetry	C2/m (12)
DFT formation energy	2.1	eV/f.u.
crystal system	monoclinic

---

(7)
First-principles (SCAN) data for a crystal of Cs2ZrAl relaxed with PBEsol, as listed in Alexandria via LeMat-Bulk.

```
Cs2ZrAl
1.0
-2.655 -5.221 -0.436
3.210 -4.906 -0.359
0.143 -3.753 4.516
Cs Al Zr
2 1 1
direct
0.250 0.250 0.250 Cs
0.750 0.750 0.750 Cs
0.000 0.000 0.000 Al
0.500 0.500 0.500 Zr
```

Summary:
magnetization	0.70	μB/atom
symmetry	Fm-3m (225)
DFT formation energy	5.6	eV/f.u.
crystal system	cubic

---

(8)
First-principles (SCAN) data for a crystal of BeSi2Cl relaxed with PBEsol, as listed in Alexandria via LeMat-Bulk.

```
BeSi2Cl
1.0
2.743 0.000 0.000
0.000 4.642 0.000
0.000 0.000 4.642
Be Si Cl
1 2 1
direct
0.500 0.500 0.500 Be
0.000 0.000 0.500 Si
0.000 0.500 0.000 Si
0.500 0.000 0.000 Cl
```

Summary:
magnetization	0.00	μB/atom
symmetry	P4/mmm (123)
uncorrected formation energy	0.773	eV/atom
energy relative to the lowest polymorph listed for this composition	150.6	meV/atom
crystal system	tetragonal

---

(9)
First-principles (SCAN) data for a crystal of CdOsAu relaxed with PBEsol, as listed in Alexandria via LeMat-Bulk.

```
CdOsAu
1.0
2.788 0.000 0.000
0.000 2.788 0.000
-1.394 -1.394 6.334
Os Au Cd
1 1 1
direct
0.336 0.336 0.671 Os
0.994 0.994 0.988 Au
0.670 0.670 0.341 Cd
```

Summary:
magnetization	0.00	μB/atom
symmetry	I4mm (107)
DFT formation energy	1.6	eV/f.u.
crystal system	tetragonal

---

(10)
First-principles (SCAN) data for a crystal of BaCaN3 relaxed with PBEsol, as listed in Alexandria via LeMat-Bulk.

```
BaCaN3
1.0
4.540 0.000 0.000
0.000 4.540 0.000
0.000 0.000 4.540
Ca Ba N
1 1 3
direct
0.500 0.500 0.500 Ca
0.000 0.000 0.000 Ba
0.000 0.500 0.000 N
0.000 0.000 0.500 N
0.500 0.000 0.000 N
```

Summary:
magnetization	0.31	μB/atom
symmetry	Pm-3m (221)
uncorrected formation energy	1.360	eV/atom
crystal system	cubic

---

(11)
First-principles (SCAN) data for a crystal of La3MgI relaxed with PBEsol, as listed in Alexandria via LeMat-Bulk.

```
La3MgI
1.0
5.884 0.000 0.000
0.000 5.884 0.000
0.000 0.000 5.884
I Mg La
1 1 3
direct
0.000 0.000 0.000 I
0.500 0.500 0.500 Mg
0.000 0.500 0.000 La
0.000 0.000 0.500 La
0.500 0.000 0.000 La
```

Summary:
magnetization	0.02	μB/atom
symmetry	Pm-3m (221)
uncorrected formation energy	-0.049	eV/atom
energy relative to the lowest polymorph listed for this composition	0.0	meV/atom
crystal system	cubic

---

(12)
First-principles (SCAN) data for a crystal of CuTe2As relaxed with PBEsol, as listed in Alexandria via LeMat-Bulk.

```
CuTe2As
1.0
4.932 0.000 0.000
2.466 4.271 0.000
2.466 1.424 4.027
As Cu Te
1 1 2
direct
0.500 0.500 0.500 As
0.250 0.250 0.250 Cu
0.000 0.000 0.000 Te
0.750 0.750 0.750 Te
```

Summary:
magnetization	0.00	μB/atom
symmetry	F-43m (216)
uncorrected formation energy	0.600	eV/atom
crystal system	cubic